Entry 1:
CeMoS4: relaxed, PBE-GGA.

```
CeMoS4
1.0
6.455 0.000 0.000
0.000 6.405 0.000
-1.086 0.000 6.313
Ce Mo S
2 2 8
Cartesian
0.000 0.000 0.000
-0.543 3.202 3.156
2.685 0.000 3.156
3.228 3.202 0.000
0.666 0.955 2.475
0.123 2.248 5.632
1.972 4.415 1.774
1.430 5.193 4.930
3.940 1.212 1.383
3.397 1.990 4.539
5.246 4.157 0.681
4.703 5.450 3.837
```

Output
- raw formation energy (eV/atom) = -0.908
- symmetry = P2_1/c (14)
- uncorrected energy (eV per atom) = -6.4538
- total moment (μB per cell) = 4.014

***

Entry 2:
CeMoS3: relaxed, PBE-GGA.

```
CeMoS3
1.0
7.437 0.000 0.000
0.000 5.843 0.000
-0.957 0.000 9.112
Ce Mo S
4 4 12
Cartesian
1.116 1.288 1.408
0.637 1.633 5.964
5.843 4.209 3.148
5.364 4.555 7.704
2.666 4.103 5.145
3.145 4.660 0.589
3.336 1.182 8.523
3.814 1.739 3.967
0.637 4.161 1.033
0.159 4.603 5.589
1.154 0.318 8.259
1.633 2.603 3.703
2.594 3.377 7.588
3.072 5.387 3.033
3.408 0.456 6.079
3.886 2.466 1.523
4.847 3.239 5.408
5.326 5.524 0.853
6.322 1.240 3.523
5.843 1.682 8.079
```

Output
- raw formation energy (eV/atom) = -1.174
- symmetry = P2_1/c (14)
- uncorrected energy (eV per atom) = -7.0030
- total moment (μB per cell) = 1.085

***

Entry 3:
CeMo6S8: relaxed, PBE-GGA.

```
CeMo6S8
1.0
4.571 2.639 3.825
-4.571 2.639 3.825
0.000 -5.278 3.825
Ce Mo S
1 6 8
Cartesian
0.000 0.000 0.000
-0.898 -1.266 4.613
-0.647 1.410 4.613
-1.545 0.145 6.862
1.545 -0.145 4.613
0.647 -1.410 6.862
0.898 1.266 6.862
-2.850 0.361 4.782
0.000 0.000 2.767
-1.738 -2.287 6.693
1.112 -2.649 4.782
-1.112 2.649 6.693
1.738 2.287 4.782
0.000 0.000 8.707
2.850 -0.361 6.693
```

Output
- raw formation energy (eV/atom) = -0.930
- symmetry = R-3 (148)
- uncorrected energy (eV per atom) = -7.8590
- total moment (μB per cell) = 0.315